(1)
12
Lattice="5.8767 -1.3634 0.0000 5.8767 1.3634 0.0000 -1.4703 0.0000 5.2910" Properties=species:S:1:pos:R:3 comment="B7C5, relaxed, DFT PBE" dos_ef_per_ev_cell=2.20 pbc="T T T"
B 0.0000 0.0000 0.0000
B -0.4152 0.0000 2.0857
B 1.4902 0.0000 4.5358
B 2.7188 0.0000 3.2220
B 7.2208 0.0000 1.5258
B 8.7535 0.0000 4.2298
B 10.1904 0.0000 0.7388
C 2.2886 0.0000 1.7555
C 3.3938 0.0000 0.7862
C 5.9367 0.0000 2.6702
C 5.2393 0.0000 5.1759
C 6.3395 0.0000 4.1321

(2)
12
Lattice="2.6702 0.0000 0.0000 0.0000 2.6741 0.0000 0.0000 0.0000 11.6363" Properties=species:S:1:pos:R:3 comment="BC, relaxed, DFT PBE" dos_ef_per_ev_cell=1.59 pbc="T T T"
B 0.0000 0.0000 0.0000
B 0.0000 0.0000 3.5215
B 0.0000 0.0000 8.0015
B 0.0000 1.3370 5.0297
B 1.3351 0.0000 6.5923
B 1.3351 1.3370 1.8128
C 0.0000 1.3370 0.8758
C 0.0000 1.3370 8.8248
C 1.3351 0.0000 2.8261
C 1.3351 0.0000 10.5759
C 1.3351 1.3370 5.7692
C 1.3351 1.3370 9.7469

Number 1: polymorph energy (0 for the lowest one) 21.1 kJ per mole of atoms, ΔH_f (0 K) 0.383 eV/atom, total magnetic moment 0.00 μB/cell. Number 2: polymorph energy (0 for the lowest one) 23.1 kJ per mole of atoms, ΔH_f (0 K) 0.391 eV/atom, total magnetic moment 0.00 μB/cell.